No. 1
Crystalline HoTh2Ni2 at its relaxed geometry. Source: Alexandria, functional PBE.

Unit cell a=3.7518 b=7.8027 c=7.8027 alpha=90.00 beta=90.00 gamma=90.00
Fractional positions:
Ho: 0.0000 0.0000 0.0000
Ho: 0.0000 0.5000 0.5000
Th: 0.5000 0.1670 0.6670
Th: 0.5000 0.6670 0.8330
Th: 0.5000 0.8330 0.3330
Th: 0.5000 0.3330 0.1670
Ni: 0.0000 0.3759 0.8759
Ni: 0.0000 0.8759 0.6241
Ni: 0.0000 0.6241 0.1241
Ni: 0.0000 0.1241 0.3759

Values from the calculation:
As for the space group: P4/mbm, No. 127. For the volume, the calculation gives 22.84 Å³/atom. For the density of states at the Fermi level, the calculation gives 5.48 states/eV/f.u. Its formation energy is -0.345 eV per atom. Its total energy is -65.4 eV for the cell shown.



No. 2
Crystalline SmPN3 at its relaxed geometry. Source: Alexandria, functional PBE.

Unit cell a=7.2943 b=7.2943 c=4.9339 alpha=92.17 beta=92.17 gamma=102.81
Fractional positions:
Sm: 0.0940 0.9060 0.2500
Sm: 0.9060 0.0940 0.7500
Sm: 0.7073 0.2927 0.2500
Sm: 0.2927 0.7073 0.7500
P: 0.7671 0.6228 0.8200
P: 0.3772 0.2329 0.6800
P: 0.2329 0.3772 0.1800
P: 0.6228 0.7671 0.3200
N: 0.9698 0.7589 0.7858
N: 0.2411 0.0302 0.7142
N: 0.0302 0.2411 0.2142
N: 0.7589 0.9698 0.2858
N: 0.7706 0.3952 0.7332
N: 0.6048 0.2294 0.7668
N: 0.2294 0.6048 0.2668
N: 0.3952 0.7706 0.2332
N: 0.7053 0.6103 0.1398
N: 0.3897 0.2947 0.3602
N: 0.2947 0.3897 0.8602
N: 0.6103 0.7053 0.6398

Values from the calculation:
As for the space group: C2/c, No. 15. For the volume, the calculation gives 12.78 Å³/atom. The value obtained for the energy relative to the elements, uncorrected is -0.812 eV per atom. Its total energy is -156.7 eV for the cell shown.



Which formula does entry 2 have? SmPN3